First-principles (PBE) data for a relaxed LiTlCo2N crystal, as listed in Alexandria via LeMat-Bulk.

Calculated values
**Fermi-level density of states**: 0.43 states/eV per atom
**SG**: No. 123
**Uncorrected formation energy**: -36 meV per atom
**DFT total energy**: -27.00 eV/f.u.

Lattice parameters (Å, degrees): 3.798 4.157 3.798 90.00 90.00 90.00
Element x y z (fractional)
Tl 0.500 0.500 0.500
Li 0.000 0.500 0.000
Co 0.000 0.000 0.500
Co 0.500 0.000 0.000
N 0.000 0.000 0.000